1.
{
  "formula": "La6Cu5Hg",
  "functional": "PBE-GGA",
  "state": "relaxed",
  "lattice": [[5.2530, 0.0000, 0.0000], [0.0000, 7.3536, 0.0000], [-2.6132, 0.0000, 7.8934]],
  "species": ["La", "La", "La", "La", "La", "La", "Cu", "Cu", "Cu", "Cu", "Cu", "Hg"],
  "frac_coords": [[0.0000, 0.2337, 0.0000], [0.0000, 0.7663, 0.0000], [0.3270, 0.2460, 0.6541], [0.3270, 0.7540, 0.6541], [0.6730, 0.2460, 0.3459], [0.6730, 0.7540, 0.3459], [0.1618, 0.5000, 0.3207], [0.1648, 0.0000, 0.3306], [0.5000, 0.0000, 0.0000], [0.8352, 0.0000, 0.6694], [0.8382, 0.5000, 0.6793], [0.5000, 0.5000, 0.0000]],
  "magmom_total_mub_per_fu": 0.00,
  "density_g_cm3": 7.36,
  "formation_enthalpy_0k_ev_per_atom": -0.1848,
  "space_group": "No. 10",
  "energy_ev_per_fu": -52.6
}


2.
{
  "formula": "CaInBr2",
  "functional": "PBE-GGA",
  "state": "relaxed",
  "lattice": [[-4.3327, 4.3327, 3.6968], [4.3327, -4.3327, 3.6968], [4.3327, 4.3327, -3.6968]],
  "species": ["Ca", "Ca", "In", "In", "Br", "Br", "Br", "Br"],
  "frac_coords": [[0.0000, 0.0000, 0.0000], [0.7500, 0.2500, 0.5000], [0.2500, 0.7500, 0.5000], [0.5000, 0.5000, 0.0000], [0.0651, 0.6250, 0.9401], [0.3750, 0.3151, 0.4401], [0.6849, 0.1250, 0.0599], [0.8750, 0.9349, 0.5599]],
  "magmom_total_mub_per_fu": 0.92,
  "density_g_cm3": 3.77,
  "space_group": "No. 122",
  "relative_energy_ev_per_atom": 0.221,
  "energy_ev_per_fu": -12.3
}


3.
{
  "formula": "Sc8P3Se3O",
  "functional": "PBE-GGA",
  "state": "relaxed",
  "lattice": [[3.7009, 2.1367, 6.2476], [-3.7009, 2.1367, 6.2476], [0.0000, -4.2735, 6.2476]],
  "species": ["Sc", "Sc", "Sc", "Sc", "Sc", "Sc", "Sc", "Sc", "P", "P", "P", "Se", "Se", "Se", "O"],
  "frac_coords": [[0.2408, 0.2408, 0.2408], [0.2638, 0.7225, 0.7225], [0.2775, 0.2775, 0.7362], [0.2775, 0.7362, 0.2775], [0.7225, 0.2638, 0.7225], [0.7225, 0.7225, 0.2638], [0.7362, 0.2775, 0.2775], [0.7592, 0.7592, 0.7592], [0.0000, 0.0000, 0.5000], [0.0000, 0.5000, 0.0000], [0.5000, 0.0000, 0.0000], [0.0000, 0.5000, 0.5000], [0.5000, 0.0000, 0.5000], [0.5000, 0.5000, 0.0000], [0.5000, 0.5000, 0.5000]],
  "magmom_total_mub_per_fu": 0.00,
  "density_g_cm3": 3.95,
  "space_group": "No. 166",
  "energy_ev_per_fu": -106.3
}


4.
{
  "formula": "CaTm5Pb5",
  "functional": "PBE-GGA",
  "state": "relaxed",
  "lattice": [[7.7950, -3.1197, 0.0000], [7.7950, 3.1197, 0.0000], [-1.5972, 0.0000, 7.1739]],
  "species": ["Ca", "Tm", "Tm", "Tm", "Tm", "Tm", "Pb", "Pb", "Pb", "Pb", "Pb"],
  "frac_coords": [[0.0000, 0.0000, 0.0000], [0.0000, 0.0000, 0.5000], [0.3320, 0.3320, 0.1540], [0.3484, 0.3484, 0.6554], [0.6516, 0.6516, 0.3446], [0.6680, 0.6680, 0.8460], [0.1687, 0.1687, 0.3440], [0.1707, 0.1707, 0.8104], [0.5000, 0.5000, 0.0000], [0.8293, 0.8293, 0.1896], [0.8313, 0.8313, 0.6560]],
  "magmom_total_mub_per_fu": 0.00,
  "density_g_cm3": 9.14,
  "formation_enthalpy_0k_ev_per_atom": -0.1933,
  "space_group": "No. 12",
  "energy_ev_per_fu": -45.0
}


5.
{
  "formula": "ZrMnCu",
  "functional": "PBE-GGA",
  "state": "relaxed",
  "lattice": [[-1.9101, 1.9101, 6.7328], [1.9101, -1.9101, 6.7328], [1.9101, 1.9101, -6.7328]],
  "species": ["Zr", "Zr", "Mn", "Mn", "Cu", "Cu"],
  "frac_coords": [[0.1679, 0.1679, 0.0000], [0.8321, 0.8321, 0.0000], [0.0000, 0.5000, 0.5000], [0.5000, 0.0000, 0.5000], [0.3769, 0.3769, 0.0000], [0.6231, 0.6231, 0.0000]],
  "magmom_total_mub_per_fu": 2.30,
  "density_g_cm3": 7.09,
  "formation_enthalpy_0k_ev_per_atom": 0.0458,
  "space_group": "No. 139",
  "relative_energy_ev_per_atom": 0.017,
  "energy_ev_per_fu": -21.7
}


6.
{
  "formula": "La6CdGe2I3",
  "functional": "PBE-GGA",
  "state": "relaxed",
  "lattice": [[3.9351, -6.8152, 0.0000], [3.9351, 6.8152, 0.0000], [-2.6167, 0.0000, 7.5355]],
  "species": ["La", "La", "La", "La", "La", "La", "Cd", "Ge", "Ge", "I", "I", "I"],
  "frac_coords": [[0.0787, 0.4276, 0.7814], [0.2229, 0.2229, 0.2151], [0.4276, 0.0787, 0.7814], [0.5724, 0.9213, 0.2186], [0.7771, 0.7771, 0.7849], [0.9213, 0.5724, 0.2186], [0.5000, 0.5000, 0.0000], [0.1668, 0.8332, 0.0000], [0.8332, 0.1668, 0.0000], [0.0000, 0.0000, 0.5000], [0.3376, 0.6624, 0.5000], [0.6624, 0.3376, 0.5000]],
  "magmom_total_mub_per_fu": 0.00,
  "density_g_cm3": 6.05,
  "space_group": "No. 12",
  "energy_ev_per_fu": -55.3
}


7.
{
  "formula": "Tc4PbO8",
  "functional": "PBE-GGA",
  "state": "relaxed",
  "lattice": [[-5.2185, 5.2185, 1.5226], [5.2185, -5.2185, 1.5226], [5.2185, 5.2185, -1.5226]],
  "species": ["Tc", "Tc", "Tc", "Tc", "Pb", "O", "O", "O", "O", "O", "O", "O", "O"],
  "frac_coords": [[0.1478, 0.3318, 0.4797], [0.3318, 0.8522, 0.1840], [0.6682, 0.1478, 0.8160], [0.8522, 0.6682, 0.5203], [0.0000, 0.0000, 0.0000], [0.0400, 0.6614, 0.7014], [0.3072, 0.6530, 0.9602], [0.3386, 0.0400, 0.3786], [0.3470, 0.3072, 0.6541], [0.6530, 0.6928, 0.3459], [0.6614, 0.9600, 0.6214], [0.6928, 0.3470, 0.0398], [0.9600, 0.3386, 0.2986]],
  "magmom_total_mub_per_fu": 0.00,
  "density_g_cm3": 7.28,
  "space_group": "No. 87",
  "energy_ev_per_fu": -99.7
}


8.
{
  "formula": "Li3Zn2Cd3In",
  "functional": "PBE-GGA",
  "state": "relaxed",
  "lattice": [[7.9851, 0.0000, 0.0000], [-3.9925, 6.9153, 0.0000], [0.0000, 0.0000, 3.0136]],
  "species": ["Li", "Li", "Li", "Zn", "Zn", "Cd", "Cd", "Cd", "In"],
  "frac_coords": [[0.0000, 0.6931, 0.0000], [0.3069, 0.3069, 0.0000], [0.6931, 0.0000, 0.0000], [0.3333, 0.6667, 0.0000], [0.6667, 0.3333, 0.0000], [0.0000, 0.3717, 0.5000], [0.3717, 0.0000, 0.5000], [0.6283, 0.6283, 0.5000], [0.0000, 0.0000, 0.5000]],
  "magmom_total_mub_per_fu": 0.00,
  "density_g_cm3": 6.02,
  "formation_enthalpy_0k_ev_per_atom": -0.1570,
  "space_group": "No. 189",
  "energy_ev_per_fu": -15.2
}


9.
{
  "formula": "LaTlN2",
  "functional": "PBE-GGA",
  "state": "relaxed",
  "lattice": [[1.8825, 1.0868, 6.6115], [-1.8825, 1.0868, 6.6115], [0.0000, -2.1737, 6.6115]],
  "species": ["La", "Tl", "N", "N"],
  "frac_coords": [[0.0000, 0.0000, 0.0000], [0.5000, 0.5000, 0.5000], [0.1089, 0.1089, 0.1089], [0.8911, 0.8911, 0.8911]],
  "magmom_total_mub_per_fu": 0.00,
  "density_g_cm3": 7.60,
  "space_group": "No. 166",
  "relative_energy_ev_per_atom": 1.023,
  "energy_ev_per_fu": -20.8
}


10.
{
  "formula": "BePbAu2",
  "functional": "PBE-GGA",
  "state": "relaxed",
  "lattice": [[1.9906, 1.1493, 5.9213], [-1.9906, 1.1493, 5.9213], [0.0000, -2.2986, 5.9213]],
  "species": ["Be", "Pb", "Au", "Au"],
  "frac_coords": [[0.0000, 0.0000, 0.0000], [0.1721, 0.1721, 0.1721], [0.3874, 0.3874, 0.3874], [0.6216, 0.6216, 0.6216]],
  "magmom_total_mub_per_fu": 0.00,
  "density_g_cm3": 12.46,
  "formation_enthalpy_0k_ev_per_atom": -0.0051,
  "space_group": "No. 160",
  "relative_energy_ev_per_atom": 0.018,
  "energy_ev_per_fu": -14.0
}


11.
{
  "formula": "TcHgPO2",
  "functional": "PBE-GGA",
  "state": "relaxed",
  "lattice": [[3.8051, 0.0000, 0.0000], [0.0000, 3.8051, 0.0000], [0.0000, 0.0000, 5.2197]],
  "species": ["Tc", "Hg", "P", "O", "O"],
  "frac_coords": [[0.0000, 0.0000, 0.0000], [0.5000, 0.5000, 0.5000], [0.0000, 0.0000, 0.5000], [0.0000, 0.5000, 0.0000], [0.5000, 0.0000, 0.0000]],
  "magmom_total_mub_per_fu": 0.00,
  "density_g_cm3": 7.94,
  "space_group": "No. 123",
  "relative_energy_ev_per_atom": 0.000,
  "energy_ev_per_fu": -29.1
}


12.
{
  "formula": "ZnMo2P",
  "functional": "PBE-GGA",
  "state": "relaxed",
  "lattice": [[2.9760, 0.0000, 0.0000], [0.0000, 2.9760, 0.0000], [0.0000, 0.0000, 6.5874]],
  "species": ["Zn", "Mo", "Mo", "P"],
  "frac_coords": [[0.0000, 0.0000, 0.0000], [0.5000, 0.5000, 0.2887], [0.5000, 0.5000, 0.7113], [0.0000, 0.0000, 0.5000]],
  "magmom_total_mub_per_fu": 0.00,
  "density_g_cm3": 8.20,
  "formation_enthalpy_0k_ev_per_atom": -0.0608,
  "space_group": "No. 123",
  "relative_energy_ev_per_atom": 0.000,
  "energy_ev_per_fu": -28.6
}


13.
{
  "formula": "RbSiRh",
  "functional": "PBE-GGA",
  "state": "relaxed",
  "lattice": [[4.1562, 0.0000, 0.0000], [0.0000, 4.1562, 0.0000], [0.0000, 0.0000, 10.6635]],
  "species": ["Rb", "Rb", "Si", "Si", "Rh", "Rh"],
  "frac_coords": [[0.2500, 0.2500, 0.2055], [0.7500, 0.7500, 0.7945], [0.2500, 0.2500, 0.6080], [0.7500, 0.7500, 0.3920], [0.2500, 0.7500, 0.5000], [0.7500, 0.2500, 0.5000]],
  "magmom_total_mub_per_fu": 0.00,
  "density_g_cm3": 3.90,
  "space_group": "No. 129",
  "energy_ev_per_fu": -15.1
}


14.
{
  "formula": "MnTl4Pb",
  "functional": "PBE-GGA",
  "state": "relaxed",
  "lattice": [[0.0000, 4.4957, 4.4957], [4.4957, 0.0000, 4.4957], [4.4957, 4.4957, 0.0000]],
  "species": ["Mn", "Tl", "Tl", "Tl", "Tl", "Pb"],
  "frac_coords": [[0.0000, 0.0000, 0.0000], [0.3751, 0.3751, 0.3751], [0.3751, 0.3751, 0.8748], [0.3751, 0.8748, 0.3751], [0.8748, 0.3751, 0.3751], [0.7500, 0.7500, 0.7500]],
  "magmom_total_mub_per_fu": 4.63,
  "density_g_cm3": 9.87,
  "formation_enthalpy_0k_ev_per_atom": 0.4625,
  "space_group": "No. 216",
  "energy_ev_per_fu": -19.6
}


15.
{
  "formula": "Tl3Co",
  "functional": "PBE-GGA",
  "state": "relaxed",
  "lattice": [[3.3370, 0.0000, 0.0000], [0.0000, 7.2060, 0.0000], [0.0000, 0.0000, 8.1330]],
  "species": ["Tl", "Tl", "Tl", "Tl", "Tl", "Tl", "Co", "Co"],
  "frac_coords": [[0.2500, 0.0410, 0.1692], [0.2500, 0.4590, 0.1692], [0.2500, 0.7500, 0.4925], [0.7500, 0.2500, 0.5075], [0.7500, 0.5410, 0.8308], [0.7500, 0.9590, 0.8308], [0.2500, 0.2500, 0.7889], [0.7500, 0.7500, 0.2111]],
  "magmom_total_mub_per_fu": 0.92,
  "density_g_cm3": 11.41,
  "formation_enthalpy_0k_ev_per_atom": 0.4280,
  "space_group": "No. 59",
  "energy_ev_per_fu": -12.5
}


16.
{
  "formula": "CsAsC3",
  "functional": "PBE-GGA",
  "state": "relaxed",
  "lattice": [[4.2704, 0.0000, 0.0000], [0.0000, 4.2704, 0.0000], [0.0000, 0.0000, 4.2704]],
  "species": ["Cs", "As", "C", "C", "C"],
  "frac_coords": [[0.0000, 0.0000, 0.0000], [0.5000, 0.5000, 0.5000], [0.0000, 0.5000, 0.5000], [0.5000, 0.0000, 0.5000], [0.5000, 0.5000, 0.0000]],
  "magmom_total_mub_per_fu": 0.00,
  "density_g_cm3": 5.20,
  "formation_enthalpy_0k_ev_per_atom": 2.6830,
  "space_group": "No. 221",
  "relative_energy_ev_per_atom": 0.000,
  "energy_ev_per_fu": -19.8
}


17.
{
  "formula": "LiPaOsPt",
  "functional": "PBE-GGA",
  "state": "relaxed",
  "lattice": [[0.0000, 3.2947, 3.2947], [3.2947, 0.0000, 3.2947], [3.2947, 3.2947, 0.0000]],
  "species": ["Li", "Pa", "Os", "Pt"],
  "frac_coords": [[0.0000, 0.0000, 0.0000], [0.5000, 0.5000, 0.5000], [0.7500, 0.7500, 0.7500], [0.2500, 0.2500, 0.2500]],
  "magmom_total_mub_per_fu": 0.00,
  "density_g_cm3": 14.47,
  "formation_enthalpy_0k_ev_per_atom": -0.3778,
  "space_group": "No. 216",
  "energy_ev_per_fu": -30.2
}


18.
{
  "formula": "LaRe2Se",
  "functional": "PBE-GGA",
  "state": "relaxed",
  "lattice": [[-1.9462, 1.9462, 5.4084], [1.9462, -1.9462, 5.4084], [1.9462, 1.9462, -5.4084]],
  "species": ["La", "Re", "Re", "Se"],
  "frac_coords": [[0.0000, 0.0000, 0.0000], [0.2500, 0.7500, 0.5000], [0.7500, 0.2500, 0.5000], [0.5000, 0.5000, 0.0000]],
  "magmom_total_mub_per_fu": 0.00,
  "density_g_cm3": 11.96,
  "space_group": "No. 139",
  "energy_ev_per_fu": -31.6
}


19.
{
  "formula": "CaScMo2",
  "functional": "PBE-GGA",
  "state": "relaxed",
  "lattice": [[4.1493, -1.5860, 0.0000], [4.1493, 1.5860, 0.0000], [-0.5472, 0.0000, 6.9496]],
  "species": ["Ca", "Sc", "Mo", "Mo"],
  "frac_coords": [[0.0000, 0.0000, 0.0000], [0.2244, 0.2244, 0.6416], [0.4808, 0.4808, 0.4265], [0.7548, 0.7548, 0.2862]],
  "magmom_total_mub_per_fu": 0.00,
  "density_g_cm3": 5.03,
  "formation_enthalpy_0k_ev_per_atom": 0.4370,
  "space_group": "No. 8",
  "relative_energy_ev_per_atom": 0.230,
  "energy_ev_per_fu": -28.2
}


20.
{
  "formula": "PmScCoRu",
  "functional": "PBE-GGA",
  "state": "relaxed",
  "lattice": [[0.0000, 3.3176, 3.3176], [3.3176, 0.0000, 3.3176], [3.3176, 3.3176, 0.0000]],
  "species": ["Pm", "Sc", "Co", "Ru"],
  "frac_coords": [[0.0000, 0.0000, 0.0000], [0.5000, 0.5000, 0.5000], [0.7500, 0.7500, 0.7500], [0.2500, 0.2500, 0.2500]],
  "magmom_total_mub_per_fu": 0.00,
  "density_g_cm3": 7.96,
  "formation_enthalpy_0k_ev_per_atom": -0.2029,
  "space_group": "No. 216",
  "energy_ev_per_fu": -28.3
}